Entry 1:
This record from Alexandria via LeMat-Bulk describes crystalline PmZnSi2Pd2 at its relaxed geometry. The functional is PBE.

total energy = -5.2386 eV/atom
space group = P-3m1 (164)
density of states at the Fermi level = 3.1 states/eV/cell
formation energy (no corrections) = -696 meV per atom

Unit cell a=4.207 b=4.207 c=6.895 alpha=90.00 beta=90.00 gamma=120.00
Fractional coordinates of all 6 atoms:
Pd 0.333 0.667 0.661
Pd 0.667 0.333 0.339
Si 0.333 0.667 0.275
Si 0.667 0.333 0.725
Pm 0.000 0.000 0.000
Zn 0.000 0.000 0.500

***

Entry 2:
This record from Alexandria via LeMat-Bulk describes crystalline CuTe2 at its relaxed geometry. The functional is PBE.

total energy = -3.1746 eV/atom
space group = I4/mmm (139)
density of states at the Fermi level = 2.0 states/eV/cell
formation energy (no corrections) = 285 meV per atom

Unit cell a=6.388 b=6.388 c=6.388 alpha=147.81 beta=147.81 gamma=46.17
Fractional coordinates of all 3 atoms:
Cu 0.500 0.500 0.000
Te 0.124 0.124 0.000
Te 0.876 0.876 0.000

***

Entry 3:
This record from Alexandria via LeMat-Bulk describes crystalline CeAg2Pt6 at its relaxed geometry. The functional is PBE.

total energy = -5.1454 eV/atom
space group = Fm-3m (225)
density of states at the Fermi level = 4.0 states/eV/cell
DFT formation energy = 16.9 kJ per mole of atoms

Unit cell a=6.348 b=6.348 c=6.348 alpha=60.00 beta=60.00 gamma=60.00
Fractional coordinates of all 9 atoms:
Pt 0.286 0.286 0.714
Pt 0.286 0.714 0.714
Pt 0.714 0.714 0.286
Pt 0.714 0.286 0.286
Pt 0.286 0.714 0.286
Pt 0.714 0.286 0.714
Ce 0.000 0.000 0.000
Ag 0.750 0.750 0.750
Ag 0.250 0.250 0.250

***

> Which of these has the lowest total energy?

PmZnSi2Pd2

***

Copy entry 2 word for word.
This record from Alexandria via LeMat-Bulk describes crystalline CuTe2 at its relaxed geometry. The functional is PBE.

total energy = -3.1746 eV/atom
space group = I4/mmm (139)
density of states at the Fermi level = 2.0 states/eV/cell
formation energy (no corrections) = 285 meV per atom

Unit cell a=6.388 b=6.388 c=6.388 alpha=147.81 beta=147.81 gamma=46.17
Fractional coordinates of all 3 atoms:
Cu 0.500 0.500 0.000
Te 0.124 0.124 0.000
Te 0.876 0.876 0.000